# 1
La2ZrTcAs PBE optimized geometry; crystal system = tetragonal; E_form = 0.906 eV per atom
1.0
-1.471 5.348 0.972
-4.072 -1.574 2.498
2.960 -0.056 4.790
As Tc Zr La
1 1 1 2
direct
0.000 0.500 0.000
0.500 0.500 0.500
0.000 0.000 0.000
0.000 0.000 0.500
0.500 0.000 0.000

***

# 2
MgFe2Mo PBE optimized geometry; crystal system = orthorhombic; E_form = 0.216 eV per atom
1.0
2.659 -0.008 0.000
-0.780 2.542 0.000
0.000 0.000 8.445
Fe Mg Mo
2 1 1
direct
0.000 0.000 0.991
0.000 0.000 0.509
0.500 0.500 0.250
0.500 0.500 0.750

***

# 3
CrSb2Pt PBE optimized geometry; crystal system = orthorhombic; energy relative to the elements, uncorrected = -97 meV per atom
1.0
5.614 0.015 -0.008
4.325 3.580 -0.008
0.007 0.002 3.975
Cr Pt Sb
1 1 2
direct
0.464 0.464 0.625
0.285 0.285 0.125
0.021 0.021 0.125
0.730 0.730 0.625

***

# 4
KCaIn2 PBE optimized geometry; crystal system = trigonal; E_form = -0.077 eV per atom
1.0
-2.728 -1.891 -10.939
0.700 -3.333 -10.913
-2.196 -5.401 -9.833
Ca In K
1 2 1
direct
0.750 0.750 0.750
0.006 0.006 0.006
0.494 0.494 0.494
0.250 0.250 0.250

***

Which formula does entry 3 have?
CrSb2Pt